Here is a geometry-optimized Ac2YErTe6 structure from the Alexandria database. Energies are from GGA-PBE.

It has space group R3 (No. 146, hexagonal axes), with a = 8.0864 Å, b = 8.0864 Å, c = 21.0457 Å, α = 90.00°, β = 90.00° and γ = 120.00°. The distinct sites, in fractional coordinates, are Ac at (0.0000, 0.0000, 0.0000), Ac at (0.0000, 0.0000, 0.4998), Y at (0.0000, 0.0000, 0.2985), Er at (0.0000, 0.0000, 0.7987), Te at (0.0106, 0.3888, 0.0557) and Te at (0.0135, 0.6233, 0.5551).

Its crystal system is trigonal. For the uncorrected formation energy, the calculation gives -14.44 eV per formula unit.



Here is a geometry-optimized SrPdSe2Br structure from the Alexandria database. Energies are from GGA-PBE.

It has space group P4/mmm (No. 123), with a = 5.9677 Å, b = 5.9677 Å, c = 5.7899 Å, α = 90.00°, β = 90.00° and γ = 90.00°. The distinct sites, in fractional coordinates, are Sr at (0.0000, 0.0000, 0.0000), Pd at (0.5000, 0.5000, 0.5000), Se at (0.0000, 0.5000, 0.0000) and Br at (0.0000, 0.0000, 0.5000).

Its crystal system is tetragonal. The energy above the most stable polymorph in this dataset is 991 meV per atom. For the uncorrected formation energy, the calculation gives 0.91 eV per formula unit.



Here is a geometry-optimized PrYZnSi structure from the Alexandria database. Energies are from GGA-PBE.

It has space group F-43m (No. 216), with a = 7.2046 Å, b = 7.2046 Å, c = 7.2046 Å, α = 90.00°, β = 90.00° and γ = 90.00°. The distinct sites, in fractional coordinates, are Pr at (0.0000, 0.0000, 0.0000), Y at (0.0000, 0.0000, 0.5000), Zn at (0.2500, 0.2500, 0.2500) and Si at (0.2500, 0.2500, 0.7500).

Its crystal system is cubic. The energy above the most stable polymorph in this dataset is 101 meV per atom. For the uncorrected formation energy, the calculation gives -1.77 eV per formula unit.



Here is a geometry-optimized Al2BiNO structure from the Alexandria database. Energies are from GGA-PBE.

It has space group P4/mmm (No. 123), with a = 5.5736 Å, b = 5.5736 Å, c = 4.2128 Å, α = 90.00°, β = 90.00° and γ = 90.00°. The distinct sites, in fractional coordinates, are Al at (0.0000, 0.5000, 0.0000), Bi at (0.0000, 0.0000, 0.0000), N at (0.0000, 0.0000, 0.5000) and O at (0.5000, 0.5000, 0.5000).

Its crystal system is tetragonal. The energy above the most stable polymorph in this dataset is 164 meV per atom. For the uncorrected formation energy, the calculation gives 7.76 eV per formula unit.



Here is a geometry-optimized SrFe2W structure from the Alexandria database. Energies are from GGA-PBE.

It has space group I-4m2 (No. 119), with a = 3.8341 Å, b = 3.8341 Å, c = 9.5294 Å, α = 90.00°, β = 90.00° and γ = 90.00°. The distinct sites, in fractional coordinates, are Sr at (0.0000, 0.0000, 0.0000), Fe at (0.0000, 0.0000, 0.5000), Fe at (0.0000, 0.5000, 0.2500) and W at (0.0000, 0.5000, 0.7500).

For the energy relative to the elements, the calculation gives 29.68 kcal/mol of atoms. Its crystal system is tetragonal. The energy above the most stable polymorph in this dataset is 779 meV per atom.



Here is a geometry-optimized Zr2AlNi3 structure from the Alexandria database. Energies are from GGA-PBE.

It has space group P6_3/mmc (No. 194), with a = 5.0926 Å, b = 5.0926 Å, c = 7.9400 Å, α = 90.00°, β = 90.00° and γ = 120.00°. The distinct sites, in fractional coordinates, are Zr at (0.3333, 0.6667, 0.0556), Al at (0.0000, 0.0000, 0.0000) and Ni at (0.1704, 0.3408, 0.7500).

For the energy relative to the elements, the calculation gives -12.02 kcal/mol of atoms. Its crystal system is hexagonal. The energy above the most stable polymorph in this dataset is 0 meV per atom.



Here is a geometry-optimized KPb2CI structure from the Alexandria database. Energies are from GGA-PBE.

It has space group P4/mmm (No. 123), with a = 6.2053 Å, b = 6.2053 Å, c = 4.7684 Å, α = 90.00°, β = 90.00° and γ = 90.00°. The distinct sites, in fractional coordinates, are K at (0.0000, 0.0000, 0.0000), Pb at (0.0000, 0.5000, 0.5000), C at (0.5000, 0.5000, 0.0000) and I at (0.5000, 0.5000, 0.5000).

Its crystal system is tetragonal. For the uncorrected formation energy, the calculation gives 6.63 eV per formula unit.



Here is a geometry-optimized ZrTiNiIr structure from the Alexandria database. Energies are from GGA-PBE.

It has space group F-43m (No. 216), with a = 6.3582 Å, b = 6.3582 Å, c = 6.3582 Å, α = 90.00°, β = 90.00° and γ = 90.00°. The distinct sites, in fractional coordinates, are Zr at (0.0000, 0.0000, 0.0000), Ti at (0.0000, 0.0000, 0.5000), Ni at (0.2500, 0.2500, 0.7500) and Ir at (0.2500, 0.2500, 0.2500).

For the energy relative to the elements, the calculation gives -13.50 kcal/mol of atoms. Its crystal system is cubic.



Here is a geometry-optimized Ce8Bi5Pb structure from the Alexandria database. Energies are from GGA-PBE.

It has space group I-4 (No. 82), with a = 9.6765 Å, b = 9.6765 Å, c = 9.6927 Å, α = 90.00°, β = 90.00° and γ = 90.00°. The distinct sites, in fractional coordinates, are Ce at (0.0742, 0.3232, 0.0503), Ce at (0.0746, 0.1750, 0.7009), Bi at (0.0000, 0.5000, 0.7500), Bi at (0.1245, 0.2498, 0.3756) and Pb at (0.0000, 0.0000, 0.0000).

For the energy relative to the elements, the calculation gives -14.64 kcal/mol of atoms. Its crystal system is tetragonal.



no.,density (g/cm³),D(E_F) (states/eV/cell)
1,6.17,0.0
2,3.48,9.3
3,5.74,7.2
4,3.72,6.0
5,9.08,14.2
6,7.18,9.7
7,5.36,3.5
8,10.08,12.5
9,8.68,108.7